ZrTiRe: optimized geometry, GGA-PBE.

Lattice parameters (Å, degrees): 5.829 8.527 9.251 90.00 90.00 90.00
Space group Fmmm (No. 69)
Inequivalent atoms, fractional coordinates:
Zr  0.000  0.180  0.000 (multiplicity 8)
Ti  0.000  0.000  0.325 (multiplicity 8)
Re  0.250  0.250  0.250 (multiplicity 8)

Properties
distance to the lowest polymorph of the same formula	295	meV/atom
total DFT energy (no corrections)	-232.34	eV for the cell shown
ΔE_f	-0.2	eV per formula unit